Record 1
Below is crystalline YTm7Sc2 at its relaxed geometry, with properties calculated at the PBE-GGA level.

Cell lengths 8.6602, 15.0360, 5.4997 Å; angles 90.00, 90.00, 90.00 degrees
With the nearest neighbours (Å) after each atom.
Space group Cmmm (No. 65)
Inequivalent atoms, fractional coordinates:
Y  0.0000  0.0000  0.0000  10 Tm 3.55-3.64
Tm  0.0000  0.2360  0.0000  2 Sc 2.89
Tm  0.0000  0.5000  0.5000  2 Sc 3.08, 4 Tm 3.30
Tm  0.1803  0.1197  0.5000  2 Sc 3.05-3.06, 2 Tm 3.12-3.30
Sc  0.0000  0.2950  0.5000  7 Tm 2.89-3.08

## Properties
Its energy of formation is 0.68 eV/atom.

Record 2
Below is crystalline VHgSeN2 at its relaxed geometry, with properties calculated at the PBE-GGA level.

Cell lengths 4.0468, 4.0468, 5.5155 Å; angles 90.00, 90.00, 90.00 degrees
With the nearest neighbours (Å) after each atom.
Space group P4/mmm (No. 123)
Inequivalent atoms, fractional coordinates:
V  0.0000  0.0000  0.0000  4 Se 2.86
Hg  0.5000  0.5000  0.5000  4 N 2.02
Se  0.5000  0.5000  0.0000  2 Hg 2.76, 4 V 2.86
N  0.0000  0.5000  0.5000  2 Hg 2.02

## Properties
The value obtained for the formation energy from raw total energies is 51.29 kcal/mol of atoms.

Record 3
Below is crystalline Rb3Na5Tl2 at its relaxed geometry, with properties calculated at the PBE-GGA level.

Cell lengths 13.2292, 13.2292, 5.2708 Å; angles 90.00, 90.00, 90.00 degrees
With the nearest neighbours (Å) after each atom.
Space group P4/mbm (No. 127)
Inequivalent atoms, fractional coordinates:
Rb  0.0000  0.0000  0.0000  8 Na 4.22
Rb  0.1829  0.3171  0.0000  3 Tl 3.94-3.97, 10 Na 4.31-4.33
Na  0.0000  0.5000  0.5000  4 Tl 3.28, 4 Na 3.54
Na  0.0658  0.7594  0.5000  2 Tl 3.38, 2 Na 3.54-3.62
Tl  0.1047  0.6047  0.0000  6 Na 3.28-3.38

## Properties
Its energy of formation is -0.04 eV/atom.